Record 1
! ZnNi5, optimized geometry, DFT PBE; values from VASP
! VASP energy: -4.885 eV per atom
! Formation energy: 0.9 eV/f.u.
! SG: P6/mmm, No. 191
&SYSTEM
  ibrav = 0, nat = 6, ntyp = 2
/
ATOMIC_SPECIES
Ni 58.69 Ni.upf
Zn 65.41 Zn.upf
CELL_PARAMETERS angstrom
1.966 4.128 -0.533
-4.523 -0.501 -0.690
-0.689 0.832 3.909
ATOMIC_POSITIONS crystal
Ni 0.333 0.667 0.000
Ni 0.667 0.333 0.000
Ni 0.000 0.500 0.500
Ni 0.500 0.000 0.500
Ni 0.500 0.500 0.500
Zn 0.000 0.000 0.000

***

Record 2
! Cu2HgCl6, optimized geometry, DFT PBE; values from VASP
! VASP energy: -2.643 eV per atom
! ΔE_f (raw): -0.47 eV/atom
! Distance to the lowest polymorph of the same formula: 0.0 kJ/mol of formula units
! SG: C2/c, No. 15
&SYSTEM
  ibrav = 0, nat = 18, ntyp = 3
/
ATOMIC_SPECIES
Cl 35.45 Cl.upf
Cu 63.55 Cu.upf
Hg 200.59 Hg.upf
CELL_PARAMETERS angstrom
-2.897 -3.754 -3.719
-1.608 -9.327 3.819
-10.051 1.642 -0.677
ATOMIC_POSITIONS crystal
Cl 0.660 0.970 0.769
Cl 0.340 0.030 0.231
Cl 0.137 0.149 0.592
Cl 0.414 0.711 0.593
Cl 0.363 0.408 0.851
Cl 0.160 0.769 0.970
Cl 0.637 0.592 0.149
Cl 0.586 0.289 0.407
Cl 0.863 0.851 0.408
Cl 0.914 0.593 0.711
Cl 0.086 0.407 0.289
Cl 0.840 0.231 0.030
Cu 0.193 0.628 0.785
Cu 0.807 0.372 0.215
Cu 0.307 0.215 0.372
Cu 0.693 0.785 0.628
Hg 0.750 0.784 0.216
Hg 0.250 0.216 0.784

***

Record 3
! Cr3CuW, optimized geometry, DFT PBE; values from VASP
! VASP energy: -7.556 eV per atom
! Formation energy: 8.1 eV/f.u.
! Distance to the lowest polymorph of the same formula: 0.0 kJ/mol of formula units
! SG: Pm-3m, No. 221
&SYSTEM
  ibrav = 0, nat = 5, ntyp = 3
/
ATOMIC_SPECIES
Cr 52.00 Cr.upf
Cu 63.55 Cu.upf
W 183.84 W.upf
CELL_PARAMETERS angstrom
-3.410 -0.726 -2.624
2.672 -0.086 -3.448
0.522 -4.302 0.512
ATOMIC_POSITIONS crystal
Cr 0.000 0.000 0.500
Cr 0.500 0.000 0.000
Cr 0.000 0.500 0.000
Cu 0.000 0.000 0.000
W 0.500 0.500 0.500

***

Record 4
! LaPtI3, optimized geometry, DFT PBE; values from VASP
! VASP energy: -3.218 eV per atom
! ΔE_f (raw): -0.09 eV/atom
! SG: Pm-3m, No. 221
&SYSTEM
  ibrav = 0, nat = 5, ntyp = 3
/
ATOMIC_SPECIES
Pt 195.08 Pt.upf
La 138.91 La.upf
I 126.90 I.upf
CELL_PARAMETERS angstrom
6.276 0.000 0.000
0.000 6.276 0.000
0.000 0.000 6.276
ATOMIC_POSITIONS crystal
Pt 0.500 0.500 0.500
La 0.000 0.000 0.000
I 0.500 0.000 0.000
I 0.000 0.500 0.000
I 0.000 0.000 0.500

***

Record 5
! Sr2AsPb, optimized geometry, DFT PBE; values from VASP
! VASP energy: -3.257 eV per atom
! Formation energy: -1.3 eV/f.u.
! Distance to the lowest polymorph of the same formula: 151.8 kJ/mol of formula units
! SG: P4mm, No. 99
&SYSTEM
  ibrav = 0, nat = 4, ntyp = 3
/
ATOMIC_SPECIES
Sr 87.62 Sr.upf
Pb 207.20 Pb.upf
As 74.92 As.upf
CELL_PARAMETERS angstrom
4.034 0.000 0.000
0.000 4.034 0.000
0.000 0.000 8.862
ATOMIC_POSITIONS crystal
Sr 0.000 0.000 0.939
Sr 0.500 0.500 0.320
Pb 0.500 0.500 0.687
As 0.000 0.000 0.554

***

Record 6
! NpPaIn2, optimized geometry, DFT PBE; values from VASP
! VASP energy: -6.893 eV per atom
! Formation energy: 0.3 eV/f.u.
! Distance to the lowest polymorph of the same formula: 0.0 kJ/mol of formula units
! SG: P4/mmm, No. 123
&SYSTEM
  ibrav = 0, nat = 4, ntyp = 3
/
ATOMIC_SPECIES
Pa 231.04 Pa.upf
Np 237.00 Np.upf
In 114.82 In.upf
CELL_PARAMETERS angstrom
-3.218 3.635 -1.599
-3.163 -2.951 -0.343
-1.167 0.773 4.107
ATOMIC_POSITIONS crystal
Pa 0.500 0.000 0.000
Np 0.500 0.500 0.500
In 0.000 0.500 0.000
In 0.000 0.000 0.500

***

Record 7
! SrPrNdTl, optimized geometry, DFT PBE; values from VASP
! VASP energy: -3.416 eV per atom
! Formation energy: -0.1 eV/f.u.
! SG: F-43m, No. 216
&SYSTEM
  ibrav = 0, nat = 4, ntyp = 4
/
ATOMIC_SPECIES
Sr 87.62 Sr.upf
Tl 204.38 Tl.upf
Nd 144.24 Nd.upf
Pr 140.91 Pr.upf
CELL_PARAMETERS angstrom
-1.586 5.328 1.505
-5.524 1.140 1.162
-1.637 1.097 5.412
ATOMIC_POSITIONS crystal
Sr 0.500 0.500 0.500
Tl 0.000 0.000 0.000
Nd 0.250 0.250 0.250
Pr 0.750 0.750 0.750

***

Record 8
! La6CePr5, optimized geometry, DFT PBE; values from VASP
! VASP energy: -4.920 eV per atom
! Formation energy: 0.4 eV/f.u.
! SG: C2/m, No. 12
&SYSTEM
  ibrav = 0, nat = 12, ntyp = 3
/
ATOMIC_SPECIES
Ce 140.12 Ce.upf
Pr 140.91 Pr.upf
La 138.91 La.upf
CELL_PARAMETERS angstrom
-1.618 -4.379 2.382
1.715 -5.419 -8.796
7.330 3.453 5.536
ATOMIC_POSITIONS crystal
Ce 0.000 0.000 0.000
Pr 0.667 0.667 0.335
Pr 0.663 0.162 0.325
Pr 0.333 0.333 0.665
Pr 0.000 0.500 0.000
Pr 0.337 0.838 0.675
La 0.500 0.755 0.000
La 0.500 0.245 0.000
La 0.836 0.589 0.672
La 0.164 0.411 0.328
La 0.164 0.917 0.328
La 0.836 0.083 0.672